## ScTiAgSe2 (SCAN)

Data for a PBEsol-optimized structure of ScTiAgSe2.

Computed properties:
* total energy: -20.659 eV per atom

a b c (Å): 4.7849 4.7849 4.9057
angles (deg): 90.00 90.00 90.00
Space group P4/mmm (No. 123)
Symmetry-distinct sites (fractional):
Sc 0.0000 0.0000 0.0000 [1 per cell]
Ti 0.5000 0.5000 0.5000 [1 per cell]
Ag 0.5000 0.5000 0.0000 [1 per cell]
Se 0.0000 0.5000 0.5000 [2 per cell]